No. 1
A relaxed PH2RuBr crystal. Source: the Alexandria database, functional PBE-GGA.

The structure in POSCAR format:
```
PH2RuBr
1.0
6.722 0.000 0.002
0.000 3.678 0.000
-1.985 0.000 6.049
H Ru P Br
4 2 2 2
direct
0.248 0.000 0.074
0.248 0.500 0.574
0.365 0.500 0.280
0.365 0.000 0.780
0.003 0.500 0.494
0.003 0.000 0.994
0.142 0.000 0.706
0.142 0.500 0.206
0.719 0.500 0.734
0.719 0.000 0.234
```

Results
Crystal system: monoclinic
Raw total energy, eV per atom: -4.86
Energy above the lowest structure with this stoichiometry, eV/atom: 0.000

No. 2
A relaxed PH2RuBr crystal. Source: the Alexandria database, functional PBE-GGA.

The structure in POSCAR format:
```
PH2RuBr
1.0
7.996 0.000 0.074
0.000 4.043 0.000
-2.174 0.000 5.901
H P Br Ru
4 2 2 2
direct
0.991 0.000 0.988
0.991 0.500 0.488
0.690 0.000 0.457
0.690 0.500 0.957
0.500 0.500 0.224
0.500 0.000 0.724
0.074 0.000 0.231
0.074 0.500 0.731
0.479 0.500 0.866
0.479 0.000 0.366
```

Results
Crystal system: monoclinic
Raw total energy, eV per atom: -4.58
Energy above the lowest structure with this stoichiometry, eV/atom: 0.278

No. 3
A relaxed PH2RuBr crystal. Source: the Alexandria database, functional PBE-GGA.

The structure in POSCAR format:
```
PH2RuBr
1.0
-1.498 -5.435 -5.331
2.489 -1.551 0.882
-2.853 -1.392 5.599
Ru P H Br
2 2 4 2
direct
0.677 0.000 0.399
0.677 0.500 0.899
0.509 0.000 0.026
0.509 0.500 0.526
0.744 0.000 0.803
0.312 0.500 0.438
0.312 0.000 0.938
0.744 0.500 0.303
0.024 0.500 0.035
0.024 0.000 0.535
```

Results
Crystal system: monoclinic
Raw total energy, eV per atom: -4.66
Energy above the lowest structure with this stoichiometry, eV/atom: 0.203

No. 4
A relaxed PHS2Br crystal. Source: the Alexandria database, functional PBE-GGA.

The structure in POSCAR format:
```
PHS2Br
1.0
4.960 0.000 0.000
0.000 4.960 0.000
0.000 0.000 5.100
S H P Br
2 1 1 1
direct
0.000 0.500 0.000
0.500 0.000 0.000
0.500 0.500 0.500
0.000 0.000 0.500
0.000 0.000 0.000
```

Results
Crystal system: tetragonal
Raw total energy, eV per atom: -2.00
Energy above the lowest structure with this stoichiometry, eV/atom: 0.887

No. 5
A relaxed PHS2Br crystal. Source: the Alexandria database, functional PBE-GGA.

The structure in POSCAR format:
```
PHS2Br
1.0
3.708 0.000 0.000
0.000 3.708 0.000
0.000 0.000 7.226
H S P Br
1 2 1 1
direct
0.000 0.000 0.000
0.000 0.500 0.000
0.500 0.000 0.000
0.000 0.000 0.500
0.500 0.500 0.500
```

Results
Crystal system: tetragonal
Raw total energy, eV per atom: -2.89
Energy above the lowest structure with this stoichiometry, eV/atom: 0.000

No. 6
A relaxed PH2Se2Br2 crystal. Source: the Alexandria database, functional PBE-GGA.

The structure in POSCAR format:
```
PH2Se2Br2
1.0
-0.791 -3.277 0.358
7.148 -3.447 0.285
3.032 -1.795 6.311
Br Se P H
2 2 1 2
direct
0.568 0.171 0.693
0.432 0.829 0.307
0.822 0.312 0.045
0.178 0.688 0.955
0.000 0.000 0.000
0.702 0.741 0.856
0.298 0.259 0.144
```

Results
Crystal system: monoclinic
Raw total energy, eV per atom: -3.06

No. 7
A relaxed PHSe2Br crystal. Source: the Alexandria database, functional PBE-GGA.

The structure in POSCAR format:
```
PHSe2Br
1.0
4.800 0.000 0.000
0.000 4.800 0.000
0.000 0.000 5.310
H Br Se P
1 1 2 1
direct
0.500 0.500 0.500
0.000 0.000 0.500
0.000 0.500 0.000
0.500 0.000 0.000
0.000 0.000 0.000
```

Results
Crystal system: tetragonal
Raw total energy, eV per atom: -2.68
Energy above the lowest structure with this stoichiometry, eV/atom: 0.104

No. 8
A relaxed PHSe2Br crystal. Source: the Alexandria database, functional PBE-GGA.

The structure in POSCAR format:
```
PHSe2Br
1.0
-2.354 3.031 0.712
-2.622 -1.448 -2.503
-3.265 -3.864 5.655
Se H P Br
2 1 1 1
direct
0.000 0.500 0.000
0.500 0.000 0.000
0.000 0.000 0.000
0.500 0.500 0.500
0.000 0.000 0.500
```

Results
Crystal system: tetragonal
Raw total energy, eV per atom: -2.78
Energy above the lowest structure with this stoichiometry, eV/atom: 0.000